Density functional theory data (PBE-GGA) for an optimized crystal structure of Ca2Be2AlPd5.

Properties
- V: 157.6 Å³/f.u.
- E_form: -0.709 eV/atom

Cell: 3.3013 9.7721 9.7721 Å, 90.00 90.00 90.00°
Sites, in units of the cell vectors:
1 Ca 0.0000 0.6764 0.1764
2 Ca 0.0000 0.3236 0.8236
3 Ca 0.0000 0.1764 0.3236
4 Ca 0.0000 0.8236 0.6764
5 Be 0.0000 0.1213 0.6213
6 Be 0.0000 0.8787 0.3787
7 Be 0.0000 0.6213 0.8787
8 Be 0.0000 0.3787 0.1213
9 Al 0.0000 0.0000 0.0000
10 Al 0.0000 0.5000 0.5000
11 Pd 0.5000 0.2107 0.0668
12 Pd 0.5000 0.7893 0.9332
13 Pd 0.5000 0.0668 0.7893
14 Pd 0.5000 0.7107 0.4332
15 Pd 0.5000 0.9332 0.2107
16 Pd 0.5000 0.2893 0.5668
17 Pd 0.5000 0.5668 0.7107
18 Pd 0.5000 0.4332 0.2893
19 Pd 0.5000 0.5000 0.0000
20 Pd 0.5000 0.0000 0.5000